# 1
! LiFe2ReSb (GGA-PBEsol, relaxed); values from VASP
! DFT total energy = -5.757 eV per atom
! E_form (uncorrected) = 1799 meV/atom
! symmetry = P4/mmm, No. 123
&SYSTEM
  ibrav = 0, nat = 5, ntyp = 4
/
ATOMIC_SPECIES
Re 186.21 Re.upf
Li 6.94 Li.upf
Fe 55.84 Fe.upf
Sb 121.76 Sb.upf
ATOMIC_POSITIONS crystal
Re 0.500 0.500 0.500
Li 0.500 0.000 0.000
Fe 0.000 0.000 0.500
Fe 0.000 0.500 0.000
Sb 0.000 0.000 0.000
CELL_PARAMETERS angstrom
4.295 0.000 0.000
0.000 4.568 0.000
0.000 0.000 4.568

***

# 2
! Sr8Li (GGA-PBEsol, relaxed); values from VASP
! E_form = 0.0326 eV per atom
! DFT total energy = -1.822 eV per atom
! symmetry = I4/mmm, No. 139
&SYSTEM
  ibrav = 0, nat = 9, ntyp = 2
/
ATOMIC_SPECIES
Sr 87.62 Sr.upf
Li 6.94 Li.upf
ATOMIC_POSITIONS crystal
Sr 0.338 0.000 0.323
Sr 0.662 0.000 0.677
Sr 0.670 0.330 0.330
Sr 0.338 0.323 0.000
Sr 0.000 0.330 0.670
Sr 0.662 0.677 0.000
Sr 0.330 0.670 0.670
Sr 0.000 0.670 0.330
Li 0.000 0.000 0.000
CELL_PARAMETERS angstrom
5.728 0.000 0.000
2.864 8.771 0.000
2.864 0.000 8.771

***

# 3
! Zn2CrIr (GGA-PBEsol, relaxed); values from VASP
! E_form = 0.0957 eV per atom
! DFT total energy = -5.712 eV per atom
! symmetry = P2/m, No. 10
! relative energy among the computed polymorphs = 194.8 meV per atom
&SYSTEM
  ibrav = 0, nat = 4, ntyp = 3
/
ATOMIC_SPECIES
Cr 52.00 Cr.upf
Ir 192.22 Ir.upf
Zn 65.41 Zn.upf
ATOMIC_POSITIONS crystal
Cr 0.500 0.500 0.000
Ir 0.000 0.500 0.500
Zn 0.770 0.000 0.751
Zn 0.230 0.000 0.249
CELL_PARAMETERS angstrom
2.694 0.000 0.031
0.000 4.359 0.000
-0.447 0.000 4.609

***

# 4
! MgMnCo (GGA-PBEsol, relaxed); values from VASP
! E_form = 0.3939 eV per atom
! DFT total energy = -6.011 eV per atom
! symmetry = P3m1, No. 156
! relative energy among the computed polymorphs = 0.0 meV per atom
&SYSTEM
  ibrav = 0, nat = 3, ntyp = 3
/
ATOMIC_SPECIES
Co 58.93 Co.upf
Mg 24.30 Mg.upf
Mn 54.94 Mn.upf
ATOMIC_POSITIONS crystal
Co 0.000 0.000 0.023
Mg 0.333 0.667 0.672
Mn 0.667 0.333 0.306
CELL_PARAMETERS angstrom
-0.480 -2.478 0.751
2.150 1.247 0.872
-3.245 2.130 4.954

***

# 5
! HoIn4Ni (GGA-PBEsol, relaxed); values from VASP
! E_form = -0.3525 eV per atom
! DFT total energy = -4.192 eV per atom
! symmetry = Cmcm, No. 63
&SYSTEM
  ibrav = 0, nat = 12, ntyp = 3
/
ATOMIC_SPECIES
Ni 58.69 Ni.upf
Ho 164.93 Ho.upf
In 114.82 In.upf
ATOMIC_POSITIONS crystal
Ni 0.227 0.250 0.454
Ni 0.773 0.750 0.546
Ho 0.124 0.750 0.249
Ho 0.876 0.250 0.751
In 0.500 0.500 0.000
In 0.500 0.000 0.000
In 0.686 0.047 0.372
In 0.314 0.953 0.628
In 0.314 0.547 0.628
In 0.686 0.453 0.372
In 0.070 0.250 0.140
In 0.930 0.750 0.860
CELL_PARAMETERS angstrom
-3.780 1.728 -1.255
-1.559 -6.015 -3.588
-1.689 -3.886 7.248

***

# 6
! LiZr2TaTi (GGA-PBEsol, relaxed); values from VASP
! E_form = 1.1410 eV per atom
! DFT total energy = -7.063 eV per atom
! symmetry = P4/mmm, No. 123
&SYSTEM
  ibrav = 0, nat = 5, ntyp = 4
/
ATOMIC_SPECIES
Ti 47.87 Ti.upf
Li 6.94 Li.upf
Zr 91.22 Zr.upf
Ta 180.95 Ta.upf
ATOMIC_POSITIONS crystal
Ti 0.000 0.000 0.000
Li 0.500 0.000 0.000
Zr 0.000 0.000 0.500
Zr 0.000 0.500 0.000
Ta 0.500 0.500 0.500
CELL_PARAMETERS angstrom
-1.994 0.502 3.906
-1.660 -4.474 -0.272
3.928 -1.592 2.210

***

# 7
! LaAlCd2Pt (GGA-PBEsol, relaxed); values from VASP
! E_form = 1.6847 eV per atom
! DFT total energy = -2.074 eV per atom
! symmetry = P4/mmm, No. 123
&SYSTEM
  ibrav = 0, nat = 5, ntyp = 4
/
ATOMIC_SPECIES
Cd 112.41 Cd.upf
Al 26.98 Al.upf
Pt 195.08 Pt.upf
La 138.91 La.upf
ATOMIC_POSITIONS crystal
Cd 0.000 0.000 0.500
Cd 0.000 0.500 0.000
Al 0.500 0.000 0.000
Pt 0.500 0.500 0.500
La 0.000 0.000 0.000
CELL_PARAMETERS angstrom
-1.853 -1.733 4.949
5.310 -0.730 1.732
0.109 5.302 1.898

***

# 8
! Ba2CaMn (GGA-PBEsol, relaxed); values from VASP
! E_form = 0.4190 eV per atom
! DFT total energy = -3.629 eV per atom
! symmetry = P4/mmm, No. 123
! relative energy among the computed polymorphs = 10.7 meV per atom
&SYSTEM
  ibrav = 0, nat = 4, ntyp = 3
/
ATOMIC_SPECIES
Ca 40.08 Ca.upf
Mn 54.94 Mn.upf
Ba 137.33 Ba.upf
ATOMIC_POSITIONS crystal
Ca 0.500 0.500 0.500
Mn 0.500 0.500 0.000
Ba 0.000 0.000 0.196
Ba 0.000 0.000 0.804
CELL_PARAMETERS angstrom
4.048 0.073 0.000
-0.078 4.048 0.000
0.000 0.000 9.727

***

# 9
! BaTaRh2 (GGA-PBEsol, relaxed); values from VASP
! E_form = 0.2112 eV per atom
! DFT total energy = -7.533 eV per atom
! symmetry = Pmm2, No. 25
! relative energy among the computed polymorphs = 297.5 meV per atom
&SYSTEM
  ibrav = 0, nat = 4, ntyp = 3
/
ATOMIC_SPECIES
Ba 137.33 Ba.upf
Rh 102.91 Rh.upf
Ta 180.95 Ta.upf
ATOMIC_POSITIONS crystal
Ba 0.500 0.500 0.782
Rh 0.000 0.000 0.063
Rh 0.500 0.500 0.273
Ta 0.000 0.000 0.383
CELL_PARAMETERS angstrom
-3.000 0.167 0.962
-0.410 -3.677 -0.640
2.133 -1.440 6.905

***

# 10
! Y2Si2Pt (GGA-PBEsol, relaxed); values from VASP
! DFT total energy = -7.509 eV per atom
! E_form (uncorrected) = -1088 meV/atom
! symmetry = P4/mbm, No. 127
&SYSTEM
  ibrav = 0, nat = 10, ntyp = 3
/
ATOMIC_SPECIES
Y 88.91 Y.upf
Si 28.09 Si.upf
Pt 195.08 Pt.upf
ATOMIC_POSITIONS crystal
Y 0.500 0.174 0.674
Y 0.500 0.674 0.826
Y 0.500 0.826 0.326
Y 0.500 0.326 0.174
Si 0.000 0.366 0.866
Si 0.000 0.866 0.634
Si 0.000 0.634 0.134
Si 0.000 0.134 0.366
Pt 0.000 0.000 0.000
Pt 0.000 0.500 0.500
CELL_PARAMETERS angstrom
-4.349 0.467 1.095
-1.034 -6.170 -1.475
1.345 -1.674 6.059

***

# 11
! HfCoSi3 (GGA-PBEsol, relaxed); values from VASP
! DFT total energy = -5.674 eV per atom
! E_form (uncorrected) = 1422 meV/atom
! symmetry = Pm-3m, No. 221
&SYSTEM
  ibrav = 0, nat = 5, ntyp = 3
/
ATOMIC_SPECIES
Co 58.93 Co.upf
Si 28.09 Si.upf
Hf 178.49 Hf.upf
ATOMIC_POSITIONS crystal
Co 0.500 0.500 0.500
Si 0.000 0.500 0.000
Si 0.000 0.000 0.500
Si 0.500 0.000 0.000
Hf 0.000 0.000 0.000
CELL_PARAMETERS angstrom
-3.900 -0.203 2.958
-2.303 -2.872 -3.233
1.868 -3.964 2.191

***

# 12
! ScCdSeN2 (GGA-PBEsol, relaxed); values from VASP
! DFT total energy = -4.749 eV per atom
! E_form (uncorrected) = 992 meV/atom
! symmetry = P4/mmm, No. 123
&SYSTEM
  ibrav = 0, nat = 5, ntyp = 4
/
ATOMIC_SPECIES
Sc 44.96 Sc.upf
N 14.01 N.upf
Se 78.96 Se.upf
Cd 112.41 Cd.upf
ATOMIC_POSITIONS crystal
Sc 0.500 0.500 0.500
N 0.000 0.500 0.000
N 0.500 0.000 0.000
Se 0.000 0.000 0.500
Cd 0.000 0.000 0.000
CELL_PARAMETERS angstrom
4.109 0.000 0.000
0.000 4.109 0.000
0.000 0.000 5.219

***

# 13
! Cd4SF6 (GGA-PBEsol, relaxed); values from VASP
! DFT total energy = -3.764 eV per atom
! E_form (uncorrected) = -1878 meV/atom
! symmetry = R-3m, No. 166
&SYSTEM
  ibrav = 0, nat = 11, ntyp = 3
/
ATOMIC_SPECIES
Cd 112.41 Cd.upf
S 32.06 S.upf
F 19.00 F.upf
ATOMIC_POSITIONS crystal
Cd 0.208 0.208 0.375
Cd 0.792 0.792 0.625
Cd 0.626 0.626 0.122
Cd 0.374 0.374 0.878
S 0.000 0.000 0.000
F 0.146 0.146 0.563
F 0.854 0.854 0.437
F 0.437 0.437 0.689
F 0.563 0.563 0.311
F 0.730 0.730 0.811
F 0.270 0.270 0.189
CELL_PARAMETERS angstrom
3.830 0.000 0.000
1.915 3.317 0.000
1.915 1.106 12.387

***

# 14
! SrZnPCl2 (GGA-PBEsol, relaxed); values from VASP
! DFT total energy = -3.507 eV per atom
! E_form (uncorrected) = -861 meV/atom
! symmetry = P4/mmm, No. 123
&SYSTEM
  ibrav = 0, nat = 5, ntyp = 4
/
ATOMIC_SPECIES
Sr 87.62 Sr.upf
Zn 65.41 Zn.upf
P 30.97 P.upf
Cl 35.45 Cl.upf
ATOMIC_POSITIONS crystal
Sr 0.500 0.500 0.500
Zn 0.000 0.000 0.000
P 0.500 0.000 0.000
Cl 0.000 0.000 0.500
Cl 0.000 0.500 0.000
CELL_PARAMETERS angstrom
-1.656 2.540 -3.622
-4.175 -2.633 0.062
-1.986 3.223 3.168

***

# 15
! CaZrZn2 (GGA-PBEsol, relaxed); values from VASP
! E_form = 0.3203 eV per atom
! DFT total energy = -3.276 eV per atom
! symmetry = F-43m, No. 216
&SYSTEM
  ibrav = 0, nat = 4, ntyp = 3
/
ATOMIC_SPECIES
Zn 65.41 Zn.upf
Ca 40.08 Ca.upf
Zr 91.22 Zr.upf
ATOMIC_POSITIONS crystal
Zn 0.000 0.000 0.000
Zn 0.750 0.750 0.750
Ca 0.500 0.500 0.500
Zr 0.250 0.250 0.250
CELL_PARAMETERS angstrom
-2.273 -1.416 -3.982
0.926 -4.314 -1.886
-3.300 -3.477 0.229

***

# 16
! HfNbRu2 (GGA-PBEsol, relaxed); values from VASP
! E_form = -0.4456 eV per atom
! DFT total energy = -10.863 eV per atom
! symmetry = Fm-3m, No. 225
&SYSTEM
  ibrav = 0, nat = 4, ntyp = 3
/
ATOMIC_SPECIES
Ru 101.07 Ru.upf
Nb 92.91 Nb.upf
Hf 178.49 Hf.upf
ATOMIC_POSITIONS crystal
Ru 0.250 0.250 0.250
Ru 0.750 0.750 0.750
Nb 0.000 0.000 0.000
Hf 0.500 0.500 0.500
CELL_PARAMETERS angstrom
4.484 0.000 0.000
2.242 3.884 0.000
2.242 1.295 3.661

***

# 17
! LaTaTiO6 (GGA-PBEsol, relaxed); values from VASP
! DFT total energy = -9.630 eV per atom
! E_form (uncorrected) = -3217 meV/atom
! symmetry = Pna2_1, No. 33
! relative energy among the computed polymorphs = 0.0 meV per atom
&SYSTEM
  ibrav = 0, nat = 36, ntyp = 4
/
ATOMIC_SPECIES
La 138.91 La.upf
Ta 180.95 Ta.upf
Ti 47.87 Ti.upf
O 16.00 O.upf
ATOMIC_POSITIONS crystal
La 0.456 0.749 0.958
La 0.044 0.749 0.458
La 0.544 0.249 0.042
La 0.956 0.249 0.542
Ta 0.460 0.505 0.645
Ta 0.540 0.005 0.355
Ta 0.960 0.005 0.855
Ta 0.040 0.505 0.145
Ti 0.038 0.994 0.142
Ti 0.962 0.494 0.858
Ti 0.538 0.494 0.358
Ti 0.462 0.994 0.642
O 0.043 0.749 0.856
O 0.457 0.749 0.356
O 0.957 0.249 0.144
O 0.543 0.249 0.644
O 0.632 0.556 0.792
O 0.872 0.944 0.287
O 0.368 0.056 0.208
O 0.128 0.444 0.713
O 0.372 0.444 0.213
O 0.132 0.056 0.708
O 0.628 0.944 0.787
O 0.868 0.556 0.292
O 0.152 0.752 0.124
O 0.348 0.752 0.624
O 0.848 0.252 0.876
O 0.652 0.252 0.376
O 0.232 0.037 0.973
O 0.273 0.464 0.476
O 0.768 0.537 0.027
O 0.727 0.964 0.524
O 0.773 0.964 0.024
O 0.732 0.537 0.527
O 0.227 0.464 0.976
O 0.268 0.037 0.473
CELL_PARAMETERS angstrom
-2.902 -2.734 3.670
5.717 0.483 4.879
-4.056 9.432 3.819

***

# 18
! ErAl2Si2 (GGA-PBEsol, relaxed); values from VASP
! DFT total energy = -5.296 eV per atom
! E_form (uncorrected) = -376 meV/atom
! symmetry = P-3m1, No. 164
&SYSTEM
  ibrav = 0, nat = 5, ntyp = 3
/
ATOMIC_SPECIES
Si 28.09 Si.upf
Al 26.98 Al.upf
Er 167.26 Er.upf
ATOMIC_POSITIONS crystal
Si 0.667 0.333 0.746
Si 0.333 0.667 0.254
Al 0.667 0.333 0.353
Al 0.333 0.667 0.647
Er 0.000 0.000 0.000
CELL_PARAMETERS angstrom
-3.325 0.541 -2.452
2.932 -2.768 -1.047
-3.137 -4.552 3.250

***

# 19
! FeW3S (GGA-PBEsol, relaxed); values from VASP
! DFT total energy = -9.848 eV per atom
! E_form (uncorrected) = 1106 meV/atom
! symmetry = Pm-3m, No. 221
&SYSTEM
  ibrav = 0, nat = 5, ntyp = 3
/
ATOMIC_SPECIES
S 32.06 S.upf
Fe 55.84 Fe.upf
W 183.84 W.upf
ATOMIC_POSITIONS crystal
S 0.000 0.000 0.000
Fe 0.500 0.500 0.500
W 0.000 0.500 0.000
W 0.000 0.000 0.500
W 0.500 0.000 0.000
CELL_PARAMETERS angstrom
-4.340 0.120 0.215
-0.202 -3.913 -1.883
0.142 -1.890 3.912

***

# 20
! LaAlTe (GGA-PBEsol, relaxed); values from VASP
! DFT total energy = -4.947 eV per atom
! E_form (uncorrected) = -626 meV/atom
! symmetry = I4mm, No. 107
&SYSTEM
  ibrav = 0, nat = 3, ntyp = 3
/
ATOMIC_SPECIES
Te 127.60 Te.upf
Al 26.98 Al.upf
La 138.91 La.upf
ATOMIC_POSITIONS crystal
Te 0.647 0.647 0.293
Al 0.020 0.020 0.041
La 0.333 0.333 0.666
CELL_PARAMETERS angstrom
3.781 0.000 0.000
0.000 3.781 0.000
-1.891 -1.891 5.377